# PBE with a Hubbard U CoPOF2, optimized geometry
data_CoPOF2
_chemical_formula_sum 'Co1 P1 O1 F2'
_space_group_name_H-M_alt 'P 4/m m m'
_space_group_IT_number 123
_space_group_name_Hall '-P 4 2'
_cell_length_a 4.364
_cell_length_b 4.364
_cell_length_c 3.483
_cell_angle_alpha 90.00
_cell_angle_beta 90.00
_cell_angle_gamma 90.00
loop_
_atom_site_label
_atom_site_fract_x
_atom_site_fract_y
_atom_site_fract_z
_atom_site_occupancy
Co1 0.000 0.000 0.000 1
P1 0.500 0.500 0.500 1
O1 0.500 0.500 0.000 1
F1 0.000 0.500 0.500 1
# ΔE to the lowest computed polymorph	0.0	meV per atom
# crystal system	tetragonal
# density	3.603	g/cm³